(1)
# Nd2ErNi (PBE-GGA, optimized geometry)
# Distance to the lowest polymorph of the same formula ... 27.9 kJ/mol of atoms
# E_form ... 0.1487 eV per atom
data_Nd2ErNi
_chemical_formula_sum 'Nd6 Er3 Ni3'
_cell_length_a 3.6581
_cell_length_b 3.6581
_cell_length_c 31.4343
_cell_angle_alpha 90.00
_cell_angle_beta 90.00
_cell_angle_gamma 120.00
_symmetry_space_group_name_H-M 'R -3 m'
_symmetry_Int_Tables_number 166
_symmetry_space_group_name_Hall '-R 3 2"'
loop_
_atom_site_label
_atom_site_fract_x
_atom_site_fract_y
_atom_site_fract_z
Nd1 0.0000 0.0000 0.1098
Er1 0.0000 0.0000 0.0000
Ni1 0.0000 0.0000 0.5000

(2)
# BaNbNi2 (PBE-GGA, optimized geometry)
# Distance to the lowest polymorph of the same formula ... 21.2 kJ/mol of atoms
# E_form ... 0.7627 eV per atom
data_BaNbNi2
_chemical_formula_sum 'Ba4 Nb4 Ni8'
_cell_length_a 6.811
_cell_length_b 6.811
_cell_length_c 6.811
_cell_angle_alpha 90.00
_cell_angle_beta 90.00
_cell_angle_gamma 90.00
_symmetry_space_group_name_H-M 'F m -3 m'
_symmetry_Int_Tables_number 225
_symmetry_space_group_name_Hall '-F 4 2 3'
loop_
_atom_site_label
_atom_site_fract_x
_atom_site_fract_y
_atom_site_fract_z
Ba1 0.000 0.000 0.000
Nb1 0.000 0.000 0.500
Ni1 0.250 0.250 0.250

(3)
# ZnRe2Cl (PBE-GGA, optimized geometry)
# Distance to the lowest polymorph of the same formula ... 85.4 kJ/mol of atoms
# Uncorrected formation energy ... 3.84 eV per formula unit
data_ZnRe2Cl
_chemical_formula_sum 'Zn2 Re4 Cl2'
_cell_length_a 4.157
_cell_length_b 4.157
_cell_length_c 7.096
_cell_angle_alpha 90.00
_cell_angle_beta 90.00
_cell_angle_gamma 90.00
_symmetry_space_group_name_H-M 'I -4 m 2'
_symmetry_Int_Tables_number 119
_symmetry_space_group_name_Hall 'I -4 -2'
loop_
_atom_site_label
_atom_site_fract_x
_atom_site_fract_y
_atom_site_fract_z
Zn1 0.000 0.000 0.000
Re1 0.000 0.000 0.500
Re2 0.000 0.500 0.250
Cl1 0.000 0.500 0.750

(4)
# Na2MgGe2S6 (PBE-GGA, optimized geometry)
# Uncorrected formation energy ... -7.09 eV per formula unit
data_Na2MgGe2S6
_chemical_formula_sum 'Na2 Mg1 Ge2 S6'
_cell_length_a 6.6993
_cell_length_b 6.6993
_cell_length_c 7.3265
_cell_angle_alpha 90.00
_cell_angle_beta 90.00
_cell_angle_gamma 120.00
_symmetry_space_group_name_H-M 'P -3'
_symmetry_Int_Tables_number 147
_symmetry_space_group_name_Hall '-P 3'
loop_
_atom_site_label
_atom_site_fract_x
_atom_site_fract_y
_atom_site_fract_z
Na1 0.3333 0.6667 0.3660
Mg1 0.0000 0.0000 0.0000
Ge1 0.3333 0.6667 0.8205
S1 0.0463 0.3263 0.7767

Number 1: energy -4.821 eV/atom. Number 2: energy -5.126 eV/atom. Number 3: energy -6.045 eV/atom. Number 4: energy -4.120 eV/atom.